# 1
Zr3GaNi8 | GGA-PBE | relaxed

abc: 8.458 8.458 8.458
angles: 33.53 33.53 33.53
Sites, in units of the cell vectors:
Zr  0.000  0.000  0.000
Zr  0.128  0.128  0.128
Zr  0.515  0.515  0.515
Ga  0.640  0.640  0.640
Ni  0.070  0.070  0.565
Ni  0.070  0.565  0.070
Ni  0.072  0.568  0.568
Ni  0.318  0.318  0.318
Ni  0.565  0.070  0.070
Ni  0.568  0.072  0.568
Ni  0.568  0.568  0.072
Ni  0.819  0.819  0.819

Output
As for the space-group type: No. 160.


# 2
ReAs | GGA-PBE | relaxed

abc: 4.045 4.045 7.599
angles: 90.00 90.00 90.00
Sites, in units of the cell vectors:
Re  0.000  0.250  0.375
Re  0.000  0.750  0.625
Re  0.500  0.250  0.125
Re  0.500  0.750  0.875
As  0.000  0.250  0.875
As  0.000  0.750  0.125
As  0.500  0.250  0.625
As  0.500  0.750  0.375

Output
Its energy above the lowest structure with this stoichiometry is 494 meV per atom. As for the space-group type: No. 141.


Number 1: ΔH_f (0 K) -444 meV per atom, volume 164 Å³/cell. Number 2: ΔH_f (0 K) 569 meV per atom, volume 124 Å³/cell.